# Li5MnO4 (PBE+U, relaxed)
data_Li5MnO4
_cell_length_a 2.9892
_cell_length_b 6.0311
_cell_length_c 6.0311
_cell_angle_alpha 64.60
_cell_angle_beta 75.65
_cell_angle_gamma 75.65
_space_group_name_H-M_alt 'P 1'
_space_group_IT_number 1
_space_group_name_Hall 'P 1'
loop_
_atom_site_label
_atom_site_type_symbol
_atom_site_fract_x
_atom_site_fract_y
_atom_site_fract_z
Mn1 Mn 0.2500 0.0000 0.0000
O1 O 0.2500 0.2899 0.7101
O2 O 0.2500 0.7101 0.2899
O3 O 0.4509 0.7991 0.7991
O4 O 0.0491 0.2009 0.2009
Li1 Li 0.9101 0.0732 0.6066
Li2 Li 0.7500 0.5000 0.5000
Li3 Li 0.9101 0.6066 0.0732
Li4 Li 0.5899 0.9268 0.3934
Li5 Li 0.5899 0.3934 0.9268
# **Space-group type**: Immm (71)
# **Final energy**: -0.194 hartree per atom
# **Volume**: 93.9 Å³/f.u.
# **Magnetization**: 0.400 μB per atom
# **Density**: 2.72 g cm⁻³

=====

# LiMnO2 (PBE+U, relaxed)
data_LiMnO2
_cell_length_a 2.8639
_cell_length_b 5.1900
_cell_length_c 5.1383
_cell_angle_alpha 90.00
_cell_angle_beta 90.00
_cell_angle_gamma 90.00
_space_group_name_H-M_alt 'P 1'
_space_group_IT_number 1
_space_group_name_Hall 'P 1'
loop_
_atom_site_label
_atom_site_type_symbol
_atom_site_fract_x
_atom_site_fract_y
_atom_site_fract_z
Mn1 Mn 0.0000 0.0000 0.0000
Mn2 Mn 0.5000 0.5000 0.5000
O1 O 0.0000 0.3459 0.2886
O2 O 0.0000 0.6541 0.7114
O3 O 0.5000 0.1541 0.7886
O4 O 0.5000 0.8459 0.2114
Li1 Li 0.0000 0.0000 0.5000
Li2 Li 0.5000 0.5000 0.0000
# **Space-group type**: Pnnm (58)
# **Final energy**: -0.242 hartree per atom
# **Volume**: 38.2 Å³/f.u.
# **Magnetization**: 1.000 μB per atom
# **Density**: 4.08 g cm⁻³
# **Density of states at the Fermi level**: 0.000 states/eV/atom

=====

# Li13Mn2O12 (PBE+U, relaxed)
data_Li13Mn2O12
_cell_length_a 5.7914
_cell_length_b 5.4955
_cell_length_c 9.3874
_cell_angle_alpha 90.96
_cell_angle_beta 104.01
_cell_angle_gamma 119.04
_space_group_name_H-M_alt 'P 1'
_space_group_IT_number 1
_space_group_name_Hall 'P 1'
loop_
_atom_site_label
_atom_site_type_symbol
_atom_site_fract_x
_atom_site_fract_y
_atom_site_fract_z
Li1 Li 0.4800 0.7377 0.4619
Li2 Li 0.0860 0.9763 0.6294
Li3 Li 0.0998 0.4852 0.1317
Li4 Li 0.9133 0.0087 0.3670
Li5 Li 0.6118 0.0204 0.1334
Li6 Li 0.3873 0.9642 0.8629
Li7 Li 0.7289 0.0020 0.7448
Li8 Li 0.2703 0.9837 0.2517
Li9 Li 0.4998 0.4920 0.9982
Li10 Li 0.8992 0.5003 0.8646
Li11 Li 0.5206 0.2521 0.5343
Li12 Li 0.3228 0.4871 0.7275
Li13 Li 0.6760 0.4977 0.2690
O1 O 0.6654 0.1526 0.3687
O2 O 0.3114 0.2995 0.1390
O3 O 0.3336 0.8324 0.6278
O4 O 0.7847 0.1811 0.9737
O5 O 0.2117 0.3092 0.5178
O6 O 0.7871 0.6759 0.4786
O7 O 0.8426 0.8361 0.1603
O8 O 0.1043 0.6178 0.3236
O9 O 0.2143 0.8044 0.0226
O10 O 0.8951 0.3676 0.6728
O11 O 0.6874 0.6857 0.8574
O12 O 0.1564 0.1488 0.8361
Mn1 Mn 0.9997 0.4926 0.4981
Mn2 Mn 0.9994 0.9926 0.9982
# **Space-group type**: P1 (1)
# **Final energy**: -0.194 hartree per atom
# **Volume**: 250.3 Å³/f.u.
# **Magnetization**: 0.338 μB per atom
# **Density**: 2.60 g cm⁻³
# **Density of states at the Fermi level**: 0.409 states/eV/atom

=====

# LiMn2O2 (PBE+U, relaxed)
data_LiMn2O2
_cell_length_a 5.9531
_cell_length_b 5.9531
_cell_length_c 3.1204
_cell_angle_alpha 90.00
_cell_angle_beta 90.00
_cell_angle_gamma 90.00
_space_group_name_H-M_alt 'P 1'
_space_group_IT_number 1
_space_group_name_Hall 'P 1'
loop_
_atom_site_label
_atom_site_type_symbol
_atom_site_fract_x
_atom_site_fract_y
_atom_site_fract_z
O1 O 0.6633 0.1633 0.0000
O2 O 0.8367 0.6633 0.0000
O3 O 0.3367 0.8367 0.0000
O4 O 0.1633 0.3367 0.0000
Li1 Li 0.5000 0.5000 0.0000
Li2 Li 0.0000 0.0000 0.0000
Mn1 Mn 0.6640 0.8360 0.5000
Mn2 Mn 0.8360 0.3360 0.5000
Mn3 Mn 0.3360 0.1640 0.5000
Mn4 Mn 0.1640 0.6640 0.5000
# **Space-group type**: P4/mbm (127)
# **Final energy**: -0.237 hartree per atom
# **Volume**: 55.3 Å³/f.u.
# **Magnetization**: 1.827 μB per atom
# **Density**: 4.47 g cm⁻³
# **Density of states at the Fermi level**: 0.058 states/eV/atom

=====

# Li7Mn5O12 (PBE+U, relaxed)
data_Li7Mn5O12
_cell_length_a 5.8084
_cell_length_b 5.9518
_cell_length_c 7.7752
_cell_angle_alpha 82.18
_cell_angle_beta 112.10
_cell_angle_gamma 119.03
_space_group_name_H-M_alt 'P 1'
_space_group_IT_number 1
_space_group_name_Hall 'P 1'
loop_
_atom_site_label
_atom_site_type_symbol
_atom_site_fract_x
_atom_site_fract_y
_atom_site_fract_z
Mn1 Mn 0.1641 0.1652 0.6634
Mn2 Mn 0.3362 0.3357 0.3352
Mn3 Mn 0.9952 0.9912 0.0032
Mn4 Mn 0.6703 0.6766 0.6614
Mn5 Mn 0.5037 0.5030 0.0029
Li1 Li 0.9995 0.4968 0.0011
Li2 Li 0.4984 0.9795 0.0133
Li3 Li 0.3313 0.8301 0.3333
Li4 Li 0.8329 0.8308 0.3346
Li5 Li 0.8265 0.3124 0.3447
Li6 Li 0.6684 0.1733 0.6647
Li7 Li 0.1643 0.6909 0.6440
O1 O 0.7659 0.9860 0.5209
O2 O 0.2639 0.5078 0.4872
O3 O 0.9390 0.1670 0.1641
O4 O 0.9046 0.6896 0.1422
O5 O 0.7272 0.4942 0.4970
O6 O 0.0720 0.8330 0.8412
O7 O 0.3927 0.1527 0.1737
O8 O 0.2546 0.0395 0.4937
O9 O 0.0973 0.3029 0.8505
O10 O 0.6084 0.8494 0.8363
O11 O 0.5697 0.3664 0.8176
O12 O 0.4138 0.6261 0.1737
# **Space-group type**: P1 (1)
# **Final energy**: -0.233 hartree per atom
# **Volume**: 217.4 Å³/f.u.
# **Magnetization**: 0.667 μB per atom
# **Density**: 3.94 g cm⁻³
# **Density of states at the Fermi level**: 0.000 states/eV/atom

=====

# LiMn3O4 (PBE+U, relaxed)
data_LiMn3O4
_cell_length_a 4.3479
_cell_length_b 4.3479
_cell_length_c 5.3494
_cell_angle_alpha 113.98
_cell_angle_beta 113.98
_cell_angle_gamma 90.00
_space_group_name_H-M_alt 'P 1'
_space_group_IT_number 1
_space_group_name_Hall 'P 1'
loop_
_atom_site_label
_atom_site_type_symbol
_atom_site_fract_x
_atom_site_fract_y
_atom_site_fract_z
O1 O 0.0000 0.5000 0.0000
O2 O 0.5000 0.0000 0.0000
O3 O 0.2528 0.2528 0.5055
O4 O 0.7472 0.7472 0.4945
Mn1 Mn 0.2500 0.7500 0.5000
Mn2 Mn 0.7500 0.2500 0.5000
Mn3 Mn 0.5000 0.5000 0.0000
Li1 Li 0.0000 0.0000 0.0000
# **Space-group type**: I4/mmm (139)
# **Final energy**: -0.265 hartree per atom
# **Volume**: 82.8 Å³/f.u.
# **Magnetization**: 1.750 μB per atom
# **Density**: 4.73 g cm⁻³
# **Density of states at the Fermi level**: 0.334 states/eV/atom